Record 1
Material: YHo5Mg6
Method: DFT, PBE
State: relaxed

Lattice parameters (Å, degrees): 5.3597 7.5274 8.4703 90.00 108.39 90.00
Space group P2/m (No. 10)
Unique sites:
Y 0.0000 0.0000 0.0000 x1
Ho 0.0000 0.5000 0.0000 x1
Ho 0.3321 0.0000 0.6658 x2
Ho 0.3328 0.5000 0.6672 x2
Mg 0.1683 0.2506 0.3342 x4
Mg 0.5000 0.2504 0.0000 x2

Properties
Uncorrected energy = -39.87 eV/cell
Formation energy from the elements = -0.079 eV per atom
Total magnetization = 0.000 μB/atom



Record 2
Material: Si2NiCl
Method: DFT, PBE
State: relaxed

Lattice parameters (Å, degrees): 2.7763 4.1451 10.6471 90.00 90.00 90.00
Space group Immm (No. 71)
Unique sites:
Si 0.0000 0.0000 0.1979 x4
Ni 0.0000 0.5000 0.5000 x2
Cl 0.0000 0.5000 0.0000 x2

Properties
Energy relative to the lowest polymorph listed for this composition = 598 meV per atom
Uncorrected energy = -34.76 eV/cell
Total magnetization = 0.000 μB/atom
Formation energy without anion corrections = 274 meV/atom



Question: The lowest uncorrected energy belongs to which entry?
Answer: YHo5Mg6